Here is an optimized crystal structure of ZrTiMo from Alexandria. Energies are from PBE.

abc: 4.7764 4.7764 17.8975
angles: 90.00 90.00 120.00
With the nearest neighbours (Å) after each atom.
Space group R-3m (No. 166, hexagonal axes)
One atom of each set of equivalent atoms:
Zr 0.0000 0.0000 0.1198  3 Mo 2.78, 4 Ti 3.10
Ti 0.0000 0.0000 0.2931  1 Mo 2.48
Mo 0.0000 0.0000 0.4316  1 Mo 2.45, 1 Ti 2.48

## Properties
The energy relative to the elements is 0.20 eV per atom. Its energy above the most stable polymorph in this dataset is 0.2995 eV per atom.

Here is an optimized crystal structure of BaTl2ZnPb from Alexandria. Energies are from PBE.

abc: 5.4863 5.4863 5.5871
angles: 90.00 90.00 90.00
With the nearest neighbours (Å) after each atom.
Space group P4/mmm (No. 123)
One atom of each set of equivalent atoms:
Ba 0.0000 0.0000 0.0000  4 Pb 3.88, 8 Tl 3.92
Tl 0.0000 0.5000 0.5000  2 Zn 2.74
Zn 0.5000 0.5000 0.5000  4 Tl 2.74, 2 Pb 2.79
Pb 0.5000 0.5000 0.0000  2 Zn 2.79

## Properties
The energy relative to the elements is -0.10 eV per atom.

Here is an optimized crystal structure of NiAg3Te from Alexandria. Energies are from PBE.

abc: 4.8202 4.8202 4.8202
angles: 90.00 90.00 90.00
With the nearest neighbours (Å) after each atom.
Space group Pm-3m (No. 221)
One atom of each set of equivalent atoms:
Ni 0.0000 0.0000 0.0000  6 Ag 2.41
Ag 0.0000 0.0000 0.5000  2 Ni 2.41
Te 0.5000 0.5000 0.5000  12 Ag 3.41

## Properties
As for the raw formation energy: 3.097 eV/f.u. Its energy above the most stable polymorph in this dataset is 0.0000 eV per atom.

Number 1: V 354 Å³ per cell. Number 2: V 168 Å³ per cell. Number 3: V 112 Å³ per cell.